1.
Computed, not measured: crystalline Pm6GaHg2 at its relaxed geometry at the PBE-GGA level of DFT.

Cell lengths 16.3333, 7.3372, 5.1572 Å; angles 90.00, 108.31, 90.00 degrees
Space group C2/m (No. 12)
One atom of each set of equivalent atoms:
Pm (0.0000, 0.2410, 0.0000) (multiplicity 4)
Pm (0.1632, 0.2449, 0.6632) (multiplicity 8)
Ga (0.0000, 0.0000, 0.5000) (multiplicity 2)
Hg (0.1661, 0.5000, 0.1660) (multiplicity 4)

Summary:
For the total energy, the calculation gives -3.719 eV per atom. The value obtained for the density of states at the Fermi level is 25.6 states/eV per cell. As for the density: 7.6 Mg/m³. The calculated formation energy comes out at -0.148 eV per atom.

2.
Computed, not measured: crystalline PPdO3 at its relaxed geometry at the PBE-GGA level of DFT.

Cell lengths 3.8924, 3.8924, 3.8924 Å; angles 90.00, 90.00, 90.00 degrees
Space group Pm-3m (No. 221)
One atom of each set of equivalent atoms:
P (0.0000, 0.0000, 0.0000) (multiplicity 1)
Pd (0.5000, 0.5000, 0.5000) (multiplicity 1)
O (0.0000, 0.5000, 0.5000) (multiplicity 3)

Summary:
For the total energy, the calculation gives -4.626 eV per atom. The value obtained for the density of states at the Fermi level is 2.2 states/eV per cell. As for the density: 5.2 Mg/m³.

3.
Computed, not measured: crystalline NaAg3Au at its relaxed geometry at the PBE-GGA level of DFT.

Cell lengths 4.8549, 4.8549, 4.8549 Å; angles 90.00, 90.00, 90.00 degrees
Space group Pm-3m (No. 221)
One atom of each set of equivalent atoms:
Na (0.0000, 0.0000, 0.0000) (multiplicity 1)
Ag (0.0000, 0.0000, 0.5000) (multiplicity 3)
Au (0.5000, 0.5000, 0.5000) (multiplicity 1)

Summary:
For the total energy, the calculation gives -1.786 eV per atom. The value obtained for the density of states at the Fermi level is 1.8 states/eV per cell. As for the density: 7.9 Mg/m³. The calculated formation energy comes out at 0.844 eV per atom.

4.
Computed, not measured: crystalline KTcPb2 at its relaxed geometry at the PBE-GGA level of DFT.

Cell lengths 6.8198, 9.5735, 3.2483 Å; angles 90.00, 90.90, 90.00 degrees
Space group C2/m (No. 12)
One atom of each set of equivalent atoms:
K (0.0000, 0.0000, 0.0000) (multiplicity 2)
Tc (0.0000, 0.5000, 0.0000) (multiplicity 2)
Pb (0.2500, 0.2500, 0.5000) (multiplicity 4)

Summary:
For the total energy, the calculation gives -3.950 eV per atom. The value obtained for the density of states at the Fermi level is 5.1 states/eV per cell. As for the density: 8.6 Mg/m³. The calculated formation energy comes out at 0.770 eV per atom.

5.
Computed, not measured: crystalline BaMn2Si at its relaxed geometry at the PBE-GGA level of DFT.

Cell lengths 3.8753, 3.8698, 6.4161 Å; angles 90.00, 90.29, 90.00 degrees
Space group Pm (No. 6)
One atom of each set of equivalent atoms:
Ba (0.0000, 0.0000, 0.0000) (multiplicity 1)
Mn (0.0050, 0.5000, 0.5207) (multiplicity 1)
Mn (0.5045, 0.0000, 0.5211) (multiplicity 1)
Si (0.5030, 0.5000, 0.3041) (multiplicity 1)

Summary:
For the total energy, the calculation gives -6.183 eV per atom. The value obtained for the density of states at the Fermi level is 2.5 states/eV per cell. As for the density: 4.8 Mg/m³.

6.
Computed, not measured: crystalline Cd2ReAs at its relaxed geometry at the PBE-GGA level of DFT.

Cell lengths 3.0002, 3.0002, 31.8101 Å; angles 90.00, 90.00, 120.00 degrees
Space group R3m (No. 160, hexagonal axes)
One atom of each set of equivalent atoms:
Cd (0.0000, 0.0000, 0.0000) (multiplicity 3)
Cd (0.0000, 0.0000, 0.2366) (multiplicity 3)
Re (0.0000, 0.0000, 0.7426) (multiplicity 3)
As (0.0000, 0.0000, 0.4656) (multiplicity 3)

Summary:
For the total energy, the calculation gives -4.570 eV per atom. The value obtained for the density of states at the Fermi level is 4.3 states/eV per cell. As for the density: 9.8 Mg/m³. The calculated formation energy comes out at 0.162 eV per atom.